Entry from Alexandria via LeMat-Bulk: crystalline LiCa2Cu3As4 at its relaxed geometry (GGA-PBE).

Cell lengths 4.1771, 4.1771, 10.4866 Å; angles 90.00, 90.00, 90.00 degrees
Closest atoms and distances in Å follow each position.
Element x y z (fractional)
Li 0.0000 0.0000 0.0000  4 As 2.54
Ca 0.0000 0.5000 0.7587  8 As 3.15-3.42, 6 Cu 3.23-3.28, 2 Li 3.28
Ca 0.5000 0.0000 0.2413  8 As 3.15-3.42, 6 Cu 3.23-3.28, 2 Li 3.28
Cu 0.0000 0.5000 0.3656  5 As 2.39-2.52
Cu 0.5000 0.0000 0.6344  5 As 2.39-2.52
Cu 0.5000 0.5000 0.0000  4 As 2.54
As 0.0000 0.0000 0.5000  4 Cu 2.52
As 0.0000 0.5000 0.1379  3 Cu 2.39-2.54, 2 Li 2.54
As 0.5000 0.0000 0.8621  3 Cu 2.39-2.54, 2 Li 2.54
As 0.5000 0.5000 0.5000  4 Cu 2.52

## Properties
The value obtained for the calculated density is 5.240 g cm⁻³. For the magnetization, the calculation gives 0.00 μB per formula unit. The value obtained for the energy of formation is -0.5933 eV/atom.

Entry from Alexandria via LeMat-Bulk: crystalline La4Se4I3 at its relaxed geometry (GGA-PBE).

Cell lengths 9.8499, 9.8499, 9.8499 Å; angles 153.64, 126.14, 60.94 degrees
Closest atoms and distances in Å follow each position.
Element x y z (fractional)
La 0.2316 0.2316 0.0000  6 Se 3.06-3.17
La 0.2778 0.5000 0.7778  2 Se 2.95
La 0.7222 0.5000 0.2222  2 Se 2.95
La 0.7684 0.7684 0.0000  6 Se 3.06-3.17
Se 0.0306 0.3310 0.6995  4 La 2.95-3.17
Se 0.3685 0.6690 0.6995  4 La 2.95-3.17
Se 0.6315 0.3310 0.3005  4 La 2.95-3.17
Se 0.9694 0.6690 0.3005  4 La 2.95-3.17
I 0.0000 0.0000 0.0000  4 La 3.35
I 0.3992 0.8992 0.5000  1 I 3.42, 6 La 3.45-3.62, 4 Se 3.68
I 0.6008 0.1008 0.5000  1 I 3.42, 6 La 3.45-3.62, 4 Se 3.68

## Properties
The energy relative to the elements, uncorrected comes out at -1.695 eV per atom. The value obtained for the calculated density is 6.111 g cm⁻³. For the magnetization, the calculation gives 0.00 μB per formula unit.

Entry from Alexandria via LeMat-Bulk: crystalline TlIr2W at its relaxed geometry (GGA-PBE).

Cell lengths 2.9161, 2.9161, 27.7977 Å; angles 90.00, 90.00, 120.00 degrees
Closest atoms and distances in Å follow each position.
Element x y z (fractional)
Tl 0.0000 0.0000 0.0000  6 Tl 2.92, 6 Ir 3.04
Tl 0.3333 0.6667 0.6667  6 Tl 2.92, 6 Ir 3.04
Tl 0.6667 0.3333 0.3333  6 Tl 2.92, 6 Ir 3.04
Ir 0.0000 0.0000 0.2424  3 W 2.70, 6 Ir 2.92
Ir 0.0000 0.0000 0.7576  3 W 2.70, 6 Ir 2.92
Ir 0.3333 0.6667 0.4243  3 W 2.70, 6 Ir 2.92
Ir 0.3333 0.6667 0.9090  3 W 2.70, 6 Ir 2.92
Ir 0.6667 0.3333 0.0910  3 W 2.70, 6 Ir 2.92
Ir 0.6667 0.3333 0.5757  3 W 2.70, 6 Ir 2.92
W 0.0000 0.0000 0.5000  6 Ir 2.70, 6 W 2.92
W 0.3333 0.6667 0.1667  6 Ir 2.70, 6 W 2.92
W 0.6667 0.3333 0.8333  6 Ir 2.70, 6 W 2.92

## Properties
The value obtained for the calculated density is 18.802 g cm⁻³. For the magnetization, the calculation gives 0.00 μB per formula unit. The value obtained for the energy of formation is 0.2624 eV/atom. The value obtained for the energy relative to the lowest polymorph listed for this composition is 0.192 eV per atom.

Entry from Alexandria via LeMat-Bulk: crystalline Er4Tm15In at its relaxed geometry (GGA-PBE).

Cell lengths 4.8940, 4.8940, 24.7022 Å; angles 90.00, 90.00, 90.00 degrees
Closest atoms and distances in Å follow each position.
Element x y z (fractional)
Er 0.0000 0.0000 0.1010  12 Tm 3.46-3.49
Er 0.0000 0.0000 0.3017  12 Tm 3.46-3.49
Er 0.0000 0.0000 0.6983  12 Tm 3.46-3.49
Er 0.0000 0.0000 0.8990  12 Tm 3.46-3.49
Tm 0.0000 0.5000 0.0000  8 Tm 3.46-3.50, 4 Er 3.49
Tm 0.0000 0.5000 0.2016  8 Tm 3.46-3.53, 4 Er 3.48-3.49
Tm 0.0000 0.5000 0.4027  2 In 3.43, 8 Tm 3.43-3.46, 2 Er 3.49
Tm 0.0000 0.5000 0.5973  8 Tm 3.43-3.46, 2 In 3.43, 2 Er 3.49
Tm 0.0000 0.5000 0.7984  8 Tm 3.46-3.53, 4 Er 3.48-3.49
Tm 0.5000 0.0000 0.0000  8 Tm 3.46-3.50, 4 Er 3.49
Tm 0.5000 0.0000 0.2016  8 Tm 3.46-3.53, 4 Er 3.48-3.49
Tm 0.5000 0.0000 0.4027  2 In 3.43, 8 Tm 3.43-3.46, 2 Er 3.49
Tm 0.5000 0.0000 0.5973  8 Tm 3.43-3.46, 2 In 3.43, 2 Er 3.49
Tm 0.5000 0.0000 0.7984  8 Tm 3.46-3.53, 4 Er 3.48-3.49
Tm 0.5000 0.5000 0.1012  4 Er 3.46, 8 Tm 3.48-3.50
Tm 0.5000 0.5000 0.3044  8 Tm 3.45-3.53, 4 Er 3.46
Tm 0.5000 0.5000 0.5000  8 Tm 3.43, 4 In 3.46
Tm 0.5000 0.5000 0.6956  8 Tm 3.45-3.53, 4 Er 3.46
Tm 0.5000 0.5000 0.8988  4 Er 3.46, 8 Tm 3.48-3.50
In 0.0000 0.0000 0.5000  12 Tm 3.43-3.46

## Properties
The value obtained for the calculated density is 9.312 g cm⁻³. For the magnetization, the calculation gives 0.00 μB per formula unit. The value obtained for the energy of formation is -0.0283 eV/atom.